(1)
Pa2OsPb: relaxed, PBE-GGA.

Space-group type ... No. 123
Energy relative to the lowest polymorph listed for this composition ... 0.00 eV per formula unit

Unit cell a=3.2297 b=3.2297 c=8.9048 alpha=90.00 beta=90.00 gamma=90.00
Closest atoms and distances in Å follow each position.
Fractional coordinates of all 4 atoms:
Pa  0.0000  0.0000  0.2120  4 Os 2.96, 4 Pa 3.23
Pa  0.0000  0.0000  0.7880  4 Os 2.96, 4 Pa 3.23
Os  0.5000  0.5000  0.0000  8 Pa 2.96, 4 Os 3.23
Pb  0.5000  0.5000  0.5000  4 Pb 3.23, 8 Pa 3.43

***

(2)
Pa2OsPb: relaxed, PBE-GGA.

Space-group type ... No. 166
Energy relative to the lowest polymorph listed for this composition ... 0.38 eV per formula unit

Unit cell a=3.9736 b=3.9736 c=8.2220 alpha=76.02 beta=76.02 gamma=60.00
Closest atoms and distances in Å follow each position.
Fractional coordinates of all 4 atoms:
Pb  0.5000  0.5000  0.5000  6 Pa 3.32
Os  0.0000  0.0000  0.0000  6 Pa 2.77
Pa  0.7318  0.7318  0.8045  3 Os 2.77
Pa  0.2682  0.2682  0.1955  3 Os 2.77

***

(3)
PaOsPb: relaxed, PBE-GGA.

Space-group type ... No. 166

Unit cell a=4.7135 b=4.7135 c=8.6365 alpha=74.16 beta=74.16 gamma=60.00
Closest atoms and distances in Å follow each position.
Fractional coordinates of all 6 atoms:
Pa  0.2883  0.2883  0.1351  4 Os 2.68-2.76
Pa  0.7117  0.7117  0.8649  4 Os 2.68-2.76
Pb  0.8699  0.8699  0.3904  3 Os 3.17, 3 Pb 3.26, 3 Pa 3.43
Pb  0.1301  0.1301  0.6096  3 Os 3.17, 3 Pb 3.26, 3 Pa 3.43
Os  0.3971  0.3971  0.8087  4 Pa 2.68-2.76
Os  0.6029  0.6029  0.1913  4 Pa 2.68-2.76

***

(4)
PuPaOsPb: relaxed, PBE-GGA.

Space-group type ... No. 99

Unit cell a=3.2660 b=3.2660 c=8.8779 alpha=90.00 beta=90.00 gamma=90.00
Closest atoms and distances in Å follow each position.
Fractional coordinates of all 4 atoms:
Pb  0.0000  0.0000  0.0737  4 Pb 3.27, 4 Pu 3.48, 4 Pa 3.49
Os  0.0000  0.0000  0.5622  4 Pa 2.88, 4 Pu 3.02
Pa  0.5000  0.5000  0.3680  4 Os 2.88
Pu  0.5000  0.5000  0.7807  4 Os 3.02, 4 Pu 3.27

***

(5)
ThPaOsPb: relaxed, PBE-GGA.

Space-group type ... No. 99

Unit cell a=3.3160 b=3.3160 c=8.9842 alpha=90.00 beta=90.00 gamma=90.00
Closest atoms and distances in Å follow each position.
Fractional coordinates of all 4 atoms:
Pb  0.0000  0.0000  0.0790  4 Pb 3.32, 4 Pa 3.47, 4 Th 3.54
Os  0.0000  0.0000  0.5582  4 Pa 2.92, 4 Th 3.10
Pa  0.5000  0.5000  0.3637  4 Os 2.92
Th  0.5000  0.5000  0.7839  4 Os 3.10, 4 Th 3.32

***

(6)
Pa2OsPd: relaxed, PBE-GGA.

Space-group type ... No. 123
Energy relative to the lowest polymorph listed for this composition ... 0.15 eV per formula unit

Unit cell a=3.3812 b=3.3812 c=7.3452 alpha=90.00 beta=90.00 gamma=90.00
Closest atoms and distances in Å follow each position.
Fractional coordinates of all 4 atoms:
Pa  0.0000  0.0000  0.2655  4 Os 2.95, 4 Pd 3.09
Pa  0.0000  0.0000  0.7345  4 Os 2.95, 4 Pd 3.09
Os  0.5000  0.5000  0.5000  8 Pa 2.95
Pd  0.5000  0.5000  0.0000  8 Pa 3.09, 4 Pd 3.38

***

(7)
Pa2OsPd: relaxed, PBE-GGA.

Space-group type ... No. 225
Energy relative to the lowest polymorph listed for this composition ... 0.17 eV per formula unit

Unit cell a=4.9066 b=4.9066 c=4.9066 alpha=60.00 beta=60.00 gamma=60.00
Closest atoms and distances in Å follow each position.
Fractional coordinates of all 4 atoms:
Pa  0.2500  0.2500  0.2500  4 Os 3.00, 4 Pd 3.00
Pa  0.7500  0.7500  0.7500  4 Pd 3.00, 4 Os 3.00
Pd  0.5000  0.5000  0.5000  8 Pa 3.00
Os  0.0000  0.0000  0.0000  8 Pa 3.00

***

(8)
Pa2OsPd: relaxed, PBE-GGA.

Space-group type ... No. 58
Energy relative to the lowest polymorph listed for this composition ... 0.00 eV per formula unit

Unit cell a=4.2366 b=5.7390 c=7.5916 alpha=90.00 beta=90.00 gamma=90.00
Closest atoms and distances in Å follow each position.
Fractional coordinates of all 8 atoms:
Pd  0.5000  0.0000  0.5000  6 Pa 2.86-2.91, 2 Os 2.87
Pd  0.0000  0.5000  0.0000  6 Pa 2.86-2.91, 2 Os 2.87
Pa  0.0000  0.2672  0.3330  3 Os 2.81-2.96, 3 Pd 2.86-2.91
Pa  0.0000  0.7328  0.6670  3 Os 2.81-2.96, 3 Pd 2.86-2.91
Pa  0.5000  0.7672  0.1670  3 Os 2.81-2.96, 3 Pd 2.86-2.91
Pa  0.5000  0.2328  0.8330  3 Os 2.81-2.96, 3 Pd 2.86-2.91
Os  0.0000  0.0000  0.0000  6 Pa 2.81-2.96, 2 Pd 2.87
Os  0.5000  0.5000  0.5000  6 Pa 2.81-2.96, 2 Pd 2.87

***

(9)
PaOsPd: relaxed, PBE-GGA.

Space-group type ... No. 187
Energy relative to the lowest polymorph listed for this composition ... 0.81 eV per formula unit

Unit cell a=3.3520 b=4.4918 c=4.4918 alpha=120.00 beta=90.00 gamma=90.00
Closest atoms and distances in Å follow each position.
Fractional coordinates of all 3 atoms:
Os  0.1666  0.0000  0.0000  3 Pd 2.59
Pd  0.1668  0.6667  0.3333  3 Os 2.59
Pa  0.6666  0.3333  0.6667  6 Pd 3.09, 6 Os 3.09, 2 Pa 3.35

***

(10)
Pa2OsPd: relaxed, PBE-GGA.

Space-group type ... No. 166
Energy relative to the lowest polymorph listed for this composition ... 1.61 eV per formula unit

Unit cell a=3.0674 b=3.0674 c=10.2494 alpha=81.39 beta=81.39 gamma=60.00
Closest atoms and distances in Å follow each position.
Fractional coordinates of all 4 atoms:
Pd  0.0000  0.0000  0.0000  2 Pa 2.70
Pa  0.0892  0.0892  0.7324  1 Pd 2.70, 3 Os 2.94
Pa  0.9108  0.9108  0.2676  1 Pd 2.70, 3 Os 2.94
Os  0.5000  0.5000  0.5000  6 Pa 2.94, 6 Os 3.07

***

(11)
PaOsPd: relaxed, PBE-GGA.

Space-group type ... No. 63
Energy relative to the lowest polymorph listed for this composition ... 0.00 eV per formula unit

Unit cell a=4.8873 b=5.6531 c=4.7968 alpha=90.00 beta=120.63 gamma=90.00
Closest atoms and distances in Å follow each position.
Fractional coordinates of all 6 atoms:
Pd  0.0000  0.0000  0.5000  2 Pd 2.83, 6 Os 3.05-3.16, 6 Pa 3.09-3.14
Pd  0.0000  0.5000  0.5000  2 Pd 2.83, 6 Os 3.05-3.16, 6 Pa 3.09-3.14
Os  0.6731  0.2500  0.8462  5 Pa 2.78-2.83, 2 Pd 3.05
Os  0.3269  0.7500  0.1538  5 Pa 2.78-2.83, 2 Pd 3.05
Pa  0.6670  0.7500  0.8339  5 Os 2.78-2.83, 2 Pd 3.09
Pa  0.3330  0.2500  0.1661  5 Os 2.78-2.83, 2 Pd 3.09

***

(12)
Pa2OsPd: relaxed, PBE-GGA.

Space-group type ... No. 123
Energy relative to the lowest polymorph listed for this composition ... 0.35 eV per formula unit

Unit cell a=4.1135 b=4.4287 c=4.4287 alpha=90.00 beta=90.00 gamma=90.00
Closest atoms and distances in Å follow each position.
Fractional coordinates of all 4 atoms:
Pa  0.0000  0.0000  0.5000  4 Os 3.02, 4 Pd 3.02, 4 Pa 3.13
Pa  0.0000  0.5000  0.0000  4 Os 3.02, 4 Pd 3.02, 4 Pa 3.13
Os  0.5000  0.5000  0.5000  8 Pa 3.02, 4 Pd 3.13
Pd  0.5000  0.0000  0.0000  8 Pa 3.02, 4 Os 3.13

***

| no. | DOS(E_F) (states/eV/atom) | formation enthalpy at 0 K (meV/atom) |
| --- | --- | --- |
| 1 | 1.3184 | -210 |
| 2 | 1.3265 | -114 |
| 3 | 0.8360 | 78 |
| 4 | 2.3254 | -168 |
| 5 | 0.9866 | -254 |
| 6 | 1.7231 | -310 |
| 7 | 2.0077 | -303 |
| 8 | 1.6738 | -346 |
| 9 | 1.7530 | -69 |
| 10 | 1.4343 | 57 |
| 11 | 0.7499 | -338 |
| 12 | 1.4489 | -258 |